No. 1
First-principles (PBE-GGA) data for crystalline Ba2TlAg2O6 at its relaxed geometry, as listed in Alexandria via LeMat-Bulk.

Values from the calculation:
Calculated total energy   -4.74 eV per atom
Magnetization   1.9 μB/f.u.
Uncorrected formation energy   -0.953 eV per atom
Volume   18.7 A^3/atom

Cell: 6.3184 6.3184 17.8022 Å, 90.00 90.00 120.00°
Last column: nearest neighbours and their distance in Å.
Space group R-3m (No. 166, hexagonal axes)
Symmetry-distinct sites (fractional):
Ba (0.0000, 0.0000, 0.2128)  3 O 2.70
Tl (0.0000, 0.0000, 0.0000)  6 O 2.27
Ag (0.0000, 0.0000, 0.4170)  3 O 2.05
O (0.0405, 0.5203, 0.7573)  1 Ag 2.05, 1 Tl 2.27

No. 2
First-principles (PBE-GGA) data for crystalline Ba4TlAgO at its relaxed geometry, as listed in Alexandria via LeMat-Bulk.

Values from the calculation:
Calculated total energy   -3.41 eV per atom
Magnetization   0.0 μB/f.u.
Uncorrected formation energy   -0.853 eV per atom
Volume   38.5 A^3/atom

Cell: 7.5094 18.7621 7.6442 Å, 90.00 90.00 90.00°
Last column: nearest neighbours and their distance in Å.
Space group Cmcm (No. 63)
Symmetry-distinct sites (fractional):
Ba (0.0000, 0.0642, 0.2500)  1 Ag 3.46, 2 Tl 3.86
Ba (0.0000, 0.4159, 0.2500)  1 O 2.63
Ba (0.2500, 0.2500, 0.0000)  2 O 2.72
Tl (0.0000, 0.3879, 0.7500)  9 Ba 3.68-3.86
Ag (0.0000, 0.1202, 0.7500)  7 Ba 3.46-3.82
O (0.0000, 0.2758, 0.2500)  5 Ba 2.63-2.72

No. 3
First-principles (PBE-GGA) data for crystalline Ba3TmAg2O6 at its relaxed geometry, as listed in Alexandria via LeMat-Bulk.

Values from the calculation:
Calculated total energy   -5.67 eV per atom
Magnetization   0.0 μB/f.u.
Uncorrected formation energy   -1.863 eV per atom
Volume   19.5 A^3/atom

Cell: 6.2680 6.2680 6.8626 Å, 90.00 90.00 120.00°
Last column: nearest neighbours and their distance in Å.
Space group P-3m1 (No. 164)
Symmetry-distinct sites (fractional):
Ba (0.0000, 0.0000, 0.0000)  6 O 2.76
Ba (0.3333, 0.6667, 0.6180)  3 O 2.82
Tm (0.0000, 0.0000, 0.5000)  6 O 2.20
Ag (0.3333, 0.6667, 0.1399)  3 O 2.19
O (0.1625, 0.3249, 0.3094)  1 Ag 2.19, 1 Tm 2.20

No. 4
First-principles (PBE-GGA) data for crystalline BaTmAg2O4 at its relaxed geometry, as listed in Alexandria via LeMat-Bulk.

Values from the calculation:
Calculated total energy   -5.73 eV per atom
Magnetization   0.0 μB/f.u.
Uncorrected formation energy   -1.739 eV per atom
Volume   16.8 A^3/atom

Cell: 5.9712 6.1832 7.2633 Å, 90.00 90.00 90.00°
Last column: nearest neighbours and their distance in Å.
Space group I222 (No. 23)
Symmetry-distinct sites (fractional):
Ba (0.0000, 0.0000, 0.0000)  8 O 2.86-2.92
Tm (0.0000, 0.0000, 0.5000)  4 O 2.14
Ag (0.0000, 0.5000, 0.2099)  4 O 2.16-2.38
O (0.2005, 0.1927, 0.3183)  1 Tm 2.14, 2 Ag 2.16-2.38

No. 5
First-principles (PBE-GGA) data for crystalline Ba2TmAg2O6 at its relaxed geometry, as listed in Alexandria via LeMat-Bulk.

Values from the calculation:
Calculated total energy   -5.60 eV per atom
Magnetization   2.3 μB/f.u.
Uncorrected formation energy   -1.619 eV per atom
Volume   18.5 A^3/atom

Cell: 6.3284 6.3284 17.5865 Å, 90.00 90.00 120.00°
Last column: nearest neighbours and their distance in Å.
Space group R-3m (No. 166, hexagonal axes)
Symmetry-distinct sites (fractional):
Ba (0.0000, 0.0000, 0.2111)  3 O 2.70
Tm (0.0000, 0.0000, 0.0000)  6 O 2.22
Ag (0.0000, 0.0000, 0.4169)  3 O 2.05
O (0.0407, 0.5204, 0.7540)  1 Ag 2.05, 1 Tm 2.22

No. 6
First-principles (PBE-GGA) data for crystalline BaTmAgO3 at its relaxed geometry, as listed in Alexandria via LeMat-Bulk.

Values from the calculation:
Calculated total energy   -6.39 eV per atom
Magnetization   0.0 μB/f.u.
Uncorrected formation energy   -2.366 eV per atom
Volume   18.7 A^3/atom

Cell: 6.9606 3.5928 9.2598 Å, 90.00 104.43 90.00°
Last column: nearest neighbours and their distance in Å.
Space group P2_1/m (No. 11)
Symmetry-distinct sites (fractional):
Ba (0.0445, 0.2500, 0.3066)  3 O 2.54-2.59
Tm (0.4606, 0.2500, 0.6539)  6 O 2.17-2.38
Ag (0.3176, 0.2500, 0.9961)  2 O 2.08
O (0.2196, 0.2500, 0.7647)  1 Ag 2.08, 1 Tm 2.17
O (0.3137, 0.7500, 0.4964)  3 Tm 2.34-2.38
O (0.3757, 0.2500, 0.2272)  1 Ag 2.08, 2 Tm 2.26

No. 7
First-principles (PBE-GGA) data for crystalline Ba3U2AgO9 at its relaxed geometry, as listed in Alexandria via LeMat-Bulk.

Values from the calculation:
Calculated total energy   -7.83 eV per atom
Magnetization   1.0 μB/f.u.
Uncorrected formation energy   -2.771 eV per atom
Volume   17.3 A^3/atom

Cell: 6.2346 6.2346 7.7240 Å, 90.00 90.00 120.00°
Last column: nearest neighbours and their distance in Å.
Space group P-3m1 (No. 164)
Symmetry-distinct sites (fractional):
Ba (0.0000, 0.0000, 0.0000)  12 O 3.12
Ba (0.3333, 0.6667, 0.6363)  12 O 2.98-3.34
U (0.3333, 0.6667, 0.1629)  6 O 2.05-2.20
Ag (0.0000, 0.0000, 0.5000)  6 O 2.40
O (0.0000, 0.5000, 0.0000)  2 U 2.20
O (0.1790, 0.3579, 0.3167)  1 U 2.05

No. 8
First-principles (PBE-GGA) data for crystalline BaUAg2O6 at its relaxed geometry, as listed in Alexandria via LeMat-Bulk.

Values from the calculation:
Calculated total energy   -6.57 eV per atom
Magnetization   0.0 μB/f.u.
Uncorrected formation energy   -1.702 eV per atom
Volume   18.4 A^3/atom

Cell: 12.0602 8.9466 7.1249 Å, 90.00 106.55 90.00°
Last column: nearest neighbours and their distance in Å.
Space group C2/c (No. 15)
Symmetry-distinct sites (fractional):
Ba (0.0000, 0.1322, 0.2500)  8 O 2.71-2.94
U (0.0000, 0.2936, 0.7500)  2 O 1.90
Ag (0.2249, 0.4036, 0.2902)  2 O 2.10-2.22
O (0.0532, 0.4502, 0.3337)  1 O 1.48
O (0.0957, 0.1298, 0.6432)  1 Ag 2.10, 1 U 2.13
O (0.1088, 0.2740, 0.0016)  1 U 1.90

What did the first record say?
First-principles (PBE-GGA) data for crystalline Ba2TlAg2O6 at its relaxed geometry, as listed in Alexandria via LeMat-Bulk.

Values from the calculation:
Calculated total energy   -4.74 eV per atom
Magnetization   1.9 μB/f.u.
Uncorrected formation energy   -0.953 eV per atom
Volume   18.7 A^3/atom

Cell: 6.3184 6.3184 17.8022 Å, 90.00 90.00 120.00°
Last column: nearest neighbours and their distance in Å.
Space group R-3m (No. 166, hexagonal axes)
Symmetry-distinct sites (fractional):
Ba (0.0000, 0.0000, 0.2128)  3 O 2.70
Tl (0.0000, 0.0000, 0.0000)  6 O 2.27
Ag (0.0000, 0.0000, 0.4170)  3 O 2.05
O (0.0405, 0.5203, 0.7573)  1 Ag 2.05, 1 Tl 2.27